1.
This record from Alexandria via LeMat-Bulk describes a geometry-optimized PuPdPtAu structure. The functional is PBE.

## Properties
**Calculated volume**: 19.38 Å³/atom

Geometry as CIF:
```
data_PuPdPtAu
_chemical_formula_sum 'Pu4 Pd4 Pt4 Au4'
_space_group_name_H-M_alt 'P 1'
_space_group_IT_number 1
_space_group_name_Hall 'P 1'
_cell_length_a 6.769
_cell_length_b 6.769
_cell_length_c 6.769
_cell_angle_alpha 90.00
_cell_angle_beta 90.00
_cell_angle_gamma 90.00
loop_
_atom_site_label
_atom_site_type_symbol
_atom_site_fract_x
_atom_site_fract_y
_atom_site_fract_z
_atom_site_occupancy
Pu1 Pu 0.000 0.000 0.000 1
Pu2 Pu 0.000 0.500 0.500 1
Pu3 Pu 0.500 0.000 0.500 1
Pu4 Pu 0.500 0.500 0.000 1
Pd1 Pd 0.000 0.000 0.500 1
Pd2 Pd 0.000 0.500 0.000 1
Pd3 Pd 0.500 0.000 0.000 1
Pd4 Pd 0.500 0.500 0.500 1
Pt1 Pt 0.250 0.250 0.750 1
Pt2 Pt 0.250 0.750 0.250 1
Pt3 Pt 0.750 0.250 0.250 1
Pt4 Pt 0.750 0.750 0.750 1
Au1 Au 0.250 0.250 0.250 1
Au2 Au 0.250 0.750 0.750 1
Au3 Au 0.750 0.250 0.750 1
Au4 Au 0.750 0.750 0.250 1
```


2.
This record from Alexandria via LeMat-Bulk describes a geometry-optimized PuPdPtAu structure. The functional is PBE.

## Properties
**Calculated volume**: 18.86 Å³/atom

Geometry as CIF:
```
data_PuPdPtAu
_chemical_formula_sum 'Pu1 Pd1 Pt1 Au1'
_space_group_name_H-M_alt 'P 1'
_space_group_IT_number 1
_space_group_name_Hall 'P 1'
_cell_length_a 4.022
_cell_length_b 4.283
_cell_length_c 4.379
_cell_angle_alpha 90.00
_cell_angle_beta 90.00
_cell_angle_gamma 90.00
loop_
_atom_site_label
_atom_site_type_symbol
_atom_site_fract_x
_atom_site_fract_y
_atom_site_fract_z
_atom_site_occupancy
Pu1 Pu 0.000 0.000 0.000 1
Pd1 Pd 0.500 0.000 0.500 1
Pt1 Pt 0.500 0.500 0.000 1
Au1 Au 0.000 0.500 0.500 1
```


Most stable = 2


1.
This record from Alexandria via LeMat-Bulk describes a geometry-optimized TbPdPtAu structure. The functional is PBE.

## Properties
**Calculated volume**: 18.28 Å³/atom

Geometry as CIF:
```
data_TbPdPtAu
_chemical_formula_sum 'Tb1 Pd1 Pt1 Au1'
_space_group_name_H-M_alt 'P 1'
_space_group_IT_number 1
_space_group_name_Hall 'P 1'
_cell_length_a 4.015
_cell_length_b 4.254
_cell_length_c 4.282
_cell_angle_alpha 90.00
_cell_angle_beta 90.00
_cell_angle_gamma 90.00
loop_
_atom_site_label
_atom_site_type_symbol
_atom_site_fract_x
_atom_site_fract_y
_atom_site_fract_z
_atom_site_occupancy
Tb1 Tb 0.000 0.000 0.000 1
Pd1 Pd 0.500 0.500 0.000 1
Pt1 Pt 0.500 0.000 0.500 1
Au1 Au 0.000 0.500 0.500 1
```


2.
This record from Alexandria via LeMat-Bulk describes a geometry-optimized TbPdPtAu structure. The functional is PBE.

## Properties
**Calculated volume**: 18.85 Å³/atom

Geometry as CIF:
```
data_TbPdPtAu
_chemical_formula_sum 'Tb4 Pd4 Pt4 Au4'
_space_group_name_H-M_alt 'P 1'
_space_group_IT_number 1
_space_group_name_Hall 'P 1'
_cell_length_a 6.707
_cell_length_b 6.707
_cell_length_c 6.707
_cell_angle_alpha 90.00
_cell_angle_beta 90.00
_cell_angle_gamma 90.00
loop_
_atom_site_label
_atom_site_type_symbol
_atom_site_fract_x
_atom_site_fract_y
_atom_site_fract_z
_atom_site_occupancy
Tb1 Tb 0.000 0.000 0.000 1
Tb2 Tb 0.000 0.500 0.500 1
Tb3 Tb 0.500 0.000 0.500 1
Tb4 Tb 0.500 0.500 0.000 1
Pd1 Pd 0.250 0.250 0.250 1
Pd2 Pd 0.250 0.750 0.750 1
Pd3 Pd 0.750 0.250 0.750 1
Pd4 Pd 0.750 0.750 0.250 1
Pt1 Pt 0.250 0.250 0.750 1
Pt2 Pt 0.250 0.750 0.250 1
Pt3 Pt 0.750 0.250 0.250 1
Pt4 Pt 0.750 0.750 0.750 1
Au1 Au 0.000 0.000 0.500 1
Au2 Au 0.000 0.500 0.000 1
Au3 Au 0.500 0.000 0.000 1
Au4 Au 0.500 0.500 0.500 1
```


Most stable = 1


1.
This record from Alexandria via LeMat-Bulk describes a geometry-optimized TmPdPtAu structure. The functional is PBE.

## Properties
**Calculated volume**: 18.29 Å³/atom

Geometry as CIF:
```
data_TmPdPtAu
_chemical_formula_sum 'Tm4 Pd4 Pt4 Au4'
_space_group_name_H-M_alt 'P 1'
_space_group_IT_number 1
_space_group_name_Hall 'P 1'
_cell_length_a 6.639
_cell_length_b 6.639
_cell_length_c 6.639
_cell_angle_alpha 90.00
_cell_angle_beta 90.00
_cell_angle_gamma 90.00
loop_
_atom_site_label
_atom_site_type_symbol
_atom_site_fract_x
_atom_site_fract_y
_atom_site_fract_z
_atom_site_occupancy
Tm1 Tm 0.000 0.000 0.000 1
Tm2 Tm 0.000 0.500 0.500 1
Tm3 Tm 0.500 0.000 0.500 1
Tm4 Tm 0.500 0.500 0.000 1
Pd1 Pd 0.250 0.250 0.750 1
Pd2 Pd 0.250 0.750 0.250 1
Pd3 Pd 0.750 0.250 0.250 1
Pd4 Pd 0.750 0.750 0.750 1
Pt1 Pt 0.250 0.250 0.250 1
Pt2 Pt 0.250 0.750 0.750 1
Pt3 Pt 0.750 0.250 0.750 1
Pt4 Pt 0.750 0.750 0.250 1
Au1 Au 0.000 0.000 0.500 1
Au2 Au 0.000 0.500 0.000 1
Au3 Au 0.500 0.000 0.000 1
Au4 Au 0.500 0.500 0.500 1
```


2.
This record from Alexandria via LeMat-Bulk describes a geometry-optimized TmPdPtAu structure. The functional is PBE.

## Properties
**Calculated volume**: 17.75 Å³/atom

Geometry as CIF:
```
data_TmPdPtAu
_chemical_formula_sum 'Tm1 Pd1 Pt1 Au1'
_space_group_name_H-M_alt 'P 1'
_space_group_IT_number 1
_space_group_name_Hall 'P 1'
_cell_length_a 3.986
_cell_length_b 4.209
_cell_length_c 4.232
_cell_angle_alpha 90.00
_cell_angle_beta 90.00
_cell_angle_gamma 90.00
loop_
_atom_site_label
_atom_site_type_symbol
_atom_site_fract_x
_atom_site_fract_y
_atom_site_fract_z
_atom_site_occupancy
Tm1 Tm 0.000 0.000 0.000 1
Pd1 Pd 0.500 0.500 0.000 1
Pt1 Pt 0.500 0.000 0.500 1
Au1 Au 0.000 0.500 0.500 1
```


Most stable = 2


1.
This record from Alexandria via LeMat-Bulk describes a geometry-optimized Pu2Pd5Au2 structure. The functional is PBE.

## Properties
**Calculated volume**: 18.38 Å³/atom

Geometry as CIF:
```
data_Pu2Pd5Au2
_chemical_formula_sum 'Pu2 Pd5 Au2'
_space_group_name_H-M_alt 'P 1'
_space_group_IT_number 1
_space_group_name_Hall 'P 1'
_cell_length_a 6.625
_cell_length_b 6.625
_cell_length_c 6.560
_cell_angle_alpha 108.16
_cell_angle_beta 108.16
_cell_angle_gamma 37.49
loop_
_atom_site_label
_atom_site_type_symbol
_atom_site_fract_x
_atom_site_fract_y
_atom_site_fract_z
_atom_site_occupancy
Pu1 Pu 0.155 0.155 0.489 1
Pu2 Pu 0.845 0.845 0.511 1
Pd1 Pd 0.056 0.056 0.839 1
Pd2 Pd 0.392 0.392 0.835 1
Pd3 Pd 0.500 0.500 0.500 1
Pd4 Pd 0.608 0.608 0.165 1
Pd5 Pd 0.944 0.944 0.161 1
Au1 Au 0.284 0.284 0.158 1
Au2 Au 0.716 0.716 0.842 1
```


2.
This record from Alexandria via LeMat-Bulk describes a geometry-optimized Pu2Pd5Au2 structure. The functional is PBE.

## Properties
**Calculated volume**: 19.41 Å³/atom

Geometry as CIF:
```
data_Pu2Pd5Au2
_chemical_formula_sum 'Pu4 Pd10 Au4'
_space_group_name_H-M_alt 'P 1'
_space_group_IT_number 1
_space_group_name_Hall 'P 1'
_cell_length_a 8.656
_cell_length_b 8.656
_cell_length_c 8.656
_cell_angle_alpha 79.56
_cell_angle_beta 112.27
_cell_angle_gamma 143.35
loop_
_atom_site_label
_atom_site_type_symbol
_atom_site_fract_x
_atom_site_fract_y
_atom_site_fract_z
_atom_site_occupancy
Pu1 Pu 0.005 0.126 0.132 1
Pu2 Pu 0.005 0.374 0.379 1
Pu3 Pu 0.995 0.626 0.621 1
Pu4 Pu 0.995 0.874 0.868 1
Pd1 Pd 0.005 0.009 0.496 1
Pd2 Pd 0.005 0.219 0.713 1
Pd3 Pd 0.005 0.792 0.286 1
Pd4 Pd 0.287 0.657 0.923 1
Pd5 Pd 0.287 0.865 0.131 1
Pd6 Pd 0.506 0.292 0.287 1
Pd7 Pd 0.506 0.719 0.714 1
Pd8 Pd 0.513 0.509 0.504 1
Pd9 Pd 0.734 0.157 0.869 1
Pd10 Pd 0.734 0.365 0.077 1
Au1 Au 0.481 0.246 0.735 1
Au2 Au 0.502 0.002 0.500 1
Au3 Au 0.502 0.502 0.000 1
Au4 Au 0.510 0.746 0.265 1
```


Most stable = 1


1.
This record from Alexandria via LeMat-Bulk describes a geometry-optimized PuPd8Au2 structure. The functional is PBE.

## Properties
**Calculated volume**: 16.68 Å³/atom

Geometry as CIF:
```
data_PuPd8Au2
_chemical_formula_sum 'Pu1 Pd8 Au2'
_space_group_name_H-M_alt 'P 1'
_space_group_IT_number 1
_space_group_name_Hall 'P 1'
_cell_length_a 7.538
_cell_length_b 7.538
_cell_length_c 6.344
_cell_angle_alpha 104.36
_cell_angle_beta 104.36
_cell_angle_gamma 31.79
loop_
_atom_site_label
_atom_site_type_symbol
_atom_site_fract_x
_atom_site_fract_y
_atom_site_fract_z
_atom_site_occupancy
Pu1 Pu 0.000 0.000 0.000 1
Pd1 Pd 0.090 0.090 0.456 1
Pd2 Pd 0.181 0.181 0.910 1
Pd3 Pd 0.364 0.364 0.818 1
Pd4 Pd 0.455 0.455 0.274 1
Pd5 Pd 0.545 0.545 0.726 1
Pd6 Pd 0.636 0.636 0.182 1
Pd7 Pd 0.819 0.819 0.090 1
Pd8 Pd 0.910 0.910 0.544 1
Au1 Au 0.273 0.273 0.360 1
Au2 Au 0.727 0.727 0.640 1
```


2.
This record from Alexandria via LeMat-Bulk describes a geometry-optimized PuPd8Au2 structure. The functional is PBE.

## Properties
**Calculated volume**: 17.46 Å³/atom

Geometry as CIF:
```
data_PuPd8Au2
_chemical_formula_sum 'Pu1 Pd8 Au2'
_space_group_name_H-M_alt 'P 1'
_space_group_IT_number 1
_space_group_name_Hall 'P 1'
_cell_length_a 7.216
_cell_length_b 7.216
_cell_length_c 5.506
_cell_angle_alpha 104.09
_cell_angle_beta 104.09
_cell_angle_gamma 43.95
loop_
_atom_site_label
_atom_site_type_symbol
_atom_site_fract_x
_atom_site_fract_y
_atom_site_fract_z
_atom_site_occupancy
Pu1 Pu 0.000 0.000 0.000 1
Pd1 Pd 0.160 0.655 0.328 1
Pd2 Pd 0.255 0.255 0.962 1
Pd3 Pd 0.345 0.840 0.672 1
Pd4 Pd 0.422 0.422 0.786 1
Pd5 Pd 0.578 0.578 0.214 1
Pd6 Pd 0.655 0.160 0.328 1
Pd7 Pd 0.745 0.745 0.038 1
Pd8 Pd 0.840 0.345 0.672 1
Au1 Au 0.220 0.220 0.421 1
Au2 Au 0.780 0.780 0.579 1
```


Most stable = 1


1.
This record from Alexandria via LeMat-Bulk describes a geometry-optimized Pu6Pd5Au structure. The functional is PBE.

## Properties
**Calculated volume**: 19.63 Å³/atom

Geometry as CIF:
```
data_Pu6Pd5Au
_chemical_formula_sum 'Pu6 Pd5 Au1'
_space_group_name_H-M_alt 'P 1'
_space_group_IT_number 1
_space_group_name_Hall 'P 1'
_cell_length_a 5.137
_cell_length_b 5.137
_cell_length_c 10.420
_cell_angle_alpha 94.58
_cell_angle_beta 94.58
_cell_angle_gamma 119.82
loop_
_atom_site_label
_atom_site_type_symbol
_atom_site_fract_x
_atom_site_fract_y
_atom_site_fract_z
_atom_site_occupancy
Pu1 Pu 0.080 0.416 0.747 1
Pu2 Pu 0.248 0.248 0.253 1
Pu3 Pu 0.416 0.080 0.747 1
Pu4 Pu 0.584 0.920 0.253 1
Pu5 Pu 0.752 0.752 0.747 1
Pu6 Pu 0.920 0.584 0.253 1
Pd1 Pd 0.000 0.000 0.500 1
Pd2 Pd 0.167 0.833 0.000 1
Pd3 Pd 0.334 0.666 0.500 1
Pd4 Pd 0.666 0.334 0.500 1
Pd5 Pd 0.833 0.167 0.000 1
Au1 Au 0.500 0.500 0.000 1
```


2.
This record from Alexandria via LeMat-Bulk describes a geometry-optimized Pu6Pd5Au structure. The functional is PBE.

## Properties
**Calculated volume**: 22.20 Å³/atom

Geometry as CIF:
```
data_Pu6Pd5Au
_chemical_formula_sum 'Pu6 Pd5 Au1'
_space_group_name_H-M_alt 'P 1'
_space_group_IT_number 1
_space_group_name_Hall 'P 1'
_cell_length_a 5.000
_cell_length_b 7.184
_cell_length_c 8.592
_cell_angle_alpha 65.58
_cell_angle_beta 73.13
_cell_angle_gamma 89.99
loop_
_atom_site_label
_atom_site_type_symbol
_atom_site_fract_x
_atom_site_fract_y
_atom_site_fract_z
_atom_site_occupancy
Pu1 Pu 0.014 0.256 0.471 1
Pu2 Pu 0.323 0.574 0.854 1
Pu3 Pu 0.337 0.080 0.827 1
Pu4 Pu 0.663 0.920 0.173 1
Pu5 Pu 0.677 0.426 0.146 1
Pu6 Pu 0.986 0.744 0.529 1
Pd1 Pd 0.162 0.688 0.175 1
Pd2 Pd 0.167 0.142 0.166 1
Pd3 Pd 0.500 0.000 0.500 1
Pd4 Pd 0.833 0.858 0.834 1
Pd5 Pd 0.838 0.312 0.825 1
Au1 Au 0.500 0.500 0.500 1
```


Most stable = 2


1.
This record from Alexandria via LeMat-Bulk describes a geometry-optimized Pu2Pd4Au structure. The functional is PBE.

## Properties
**Calculated volume**: 20.60 Å³/atom

Geometry as CIF:
```
data_Pu2Pd4Au
_chemical_formula_sum 'Pu4 Pd8 Au2'
_space_group_name_H-M_alt 'P 1'
_space_group_IT_number 1
_space_group_name_Hall 'P 1'
_cell_length_a 3.995
_cell_length_b 3.995
_cell_length_c 18.062
_cell_angle_alpha 90.00
_cell_angle_beta 90.00
_cell_angle_gamma 90.00
loop_
_atom_site_label
_atom_site_type_symbol
_atom_site_fract_x
_atom_site_fract_y
_atom_site_fract_z
_atom_site_occupancy
Pu1 Pu 0.000 0.000 0.109 1
Pu2 Pu 0.000 0.000 0.891 1
Pu3 Pu 0.500 0.500 0.391 1
Pu4 Pu 0.500 0.500 0.609 1
Pd1 Pd 0.000 0.000 0.353 1
Pd2 Pd 0.000 0.000 0.647 1
Pd3 Pd 0.000 0.500 0.250 1
Pd4 Pd 0.000 0.500 0.750 1
Pd5 Pd 0.500 0.000 0.250 1
Pd6 Pd 0.500 0.000 0.750 1
Pd7 Pd 0.500 0.500 0.147 1
Pd8 Pd 0.500 0.500 0.853 1
Au1 Au 0.000 0.000 0.500 1
Au2 Au 0.500 0.500 0.000 1
```


2.
This record from Alexandria via LeMat-Bulk describes a geometry-optimized Pu2Pd4Au structure. The functional is PBE.

## Properties
**Calculated volume**: 20.21 Å³/atom

Geometry as CIF:
```
data_Pu2Pd4Au
_chemical_formula_sum 'Pu4 Pd8 Au2'
_space_group_name_H-M_alt 'P 1'
_space_group_IT_number 1
_space_group_name_Hall 'P 1'
_cell_length_a 6.150
_cell_length_b 6.150
_cell_length_c 9.297
_cell_angle_alpha 90.00
_cell_angle_beta 90.00
_cell_angle_gamma 53.58
loop_
_atom_site_label
_atom_site_type_symbol
_atom_site_fract_x
_atom_site_fract_y
_atom_site_fract_z
_atom_site_occupancy
Pu1 Pu 0.145 0.145 0.000 1
Pu2 Pu 0.355 0.355 0.500 1
Pu3 Pu 0.645 0.645 0.500 1
Pu4 Pu 0.855 0.855 0.000 1
Pd1 Pd 0.001 0.499 0.750 1
Pd2 Pd 0.249 0.751 0.750 1
Pd3 Pd 0.251 0.749 0.250 1
Pd4 Pd 0.499 0.001 0.250 1
Pd5 Pd 0.501 0.999 0.750 1
Pd6 Pd 0.749 0.251 0.750 1
Pd7 Pd 0.751 0.249 0.250 1
Pd8 Pd 0.999 0.501 0.250 1
Au1 Au 0.000 0.000 0.500 1
Au2 Au 0.500 0.500 0.000 1
```


Most stable = 1


1.
This record from Alexandria via LeMat-Bulk describes a geometry-optimized PuPdAu3 structure. The functional is PBE.

## Properties
**Calculated volume**: 22.48 Å³/atom

Geometry as CIF:
```
data_PuPdAu3
_chemical_formula_sum 'Pu2 Pd2 Au6'
_space_group_name_H-M_alt 'P 1'
_space_group_IT_number 1
_space_group_name_Hall 'P 1'
_cell_length_a 6.521
_cell_length_b 6.521
_cell_length_c 6.521
_cell_angle_alpha 66.83
_cell_angle_beta 66.83
_cell_angle_gamma 66.83
loop_
_atom_site_label
_atom_site_type_symbol
_atom_site_fract_x
_atom_site_fract_y
_atom_site_fract_z
_atom_site_occupancy
Pu1 Pu 0.000 0.000 0.000 1
Pu2 Pu 0.500 0.500 0.500 1
Pd1 Pd 0.323 0.323 0.323 1
Pd2 Pd 0.823 0.823 0.823 1
Au1 Au 0.129 0.975 0.432 1
Au2 Au 0.432 0.129 0.975 1
Au3 Au 0.475 0.629 0.932 1
Au4 Au 0.629 0.932 0.475 1
Au5 Au 0.932 0.475 0.629 1
Au6 Au 0.975 0.432 0.129 1
```


2.
This record from Alexandria via LeMat-Bulk describes a geometry-optimized PuPdAu3 structure. The functional is PBE.

## Properties
**Calculated volume**: 20.49 Å³/atom

Geometry as CIF:
```
data_PuPdAu3
_chemical_formula_sum 'Pu2 Pd2 Au6'
_space_group_name_H-M_alt 'P 1'
_space_group_IT_number 1
_space_group_name_Hall 'P 1'
_cell_length_a 8.263
_cell_length_b 8.263
_cell_length_c 5.594
_cell_angle_alpha 93.03
_cell_angle_beta 93.03
_cell_angle_gamma 32.50
loop_
_atom_site_label
_atom_site_type_symbol
_atom_site_fract_x
_atom_site_fract_y
_atom_site_fract_z
_atom_site_occupancy
Pu1 Pu 0.000 0.000 0.000 1
Pu2 Pu 0.714 0.714 0.360 1
Pd1 Pd 0.195 0.195 0.981 1
Pd2 Pd 0.519 0.519 0.379 1
Au1 Au 0.105 0.105 0.517 1
Au2 Au 0.357 0.357 0.180 1
Au3 Au 0.357 0.357 0.679 1
Au4 Au 0.610 0.610 0.843 1
Au5 Au 0.798 0.798 0.890 1
Au6 Au 0.917 0.917 0.470 1
```


Most stable = 2